A.
Material: Ti2Mo5W4
Method: DFT, PBE
State: optimized geometry

The structure in CIF format:
```
data_Ti2Mo5W4
_chemical_formula_sum 'Ti4 Mo10 W8'
_symmetry_space_group_name_H-M 'C 1 2/m 1'
_symmetry_Int_Tables_number 12
_symmetry_space_group_name_Hall '-C 2y'
_cell_length_a 11.655
_cell_length_b 5.089
_cell_length_c 7.722
_cell_angle_alpha 90.00
_cell_angle_beta 125.13
_cell_angle_gamma 90.00
loop_
_atom_site_label
_atom_site_type_symbol
_atom_site_fract_x
_atom_site_fract_y
_atom_site_fract_z
Ti1 Ti 0.161 0.000 0.172
Mo1 Mo 0.000 0.500 0.000
Mo2 Mo 0.008 0.253 0.684
W1 W 0.233 0.500 0.059
W2 W 0.248 0.000 0.583
```

Summary:
Spin magnetization ... 0.00 μB per formula unit


B.
Material: Ti2Mo5W4
Method: DFT, PBE
State: optimized geometry

The structure in CIF format:
```
data_Ti2Mo5W4
_chemical_formula_sum 'Ti2 Mo5 W4'
_symmetry_space_group_name_H-M 'P -1'
_symmetry_Int_Tables_number 2
_symmetry_space_group_name_Hall '-P 1'
_cell_length_a 2.736
_cell_length_b 6.960
_cell_length_c 9.434
_cell_angle_alpha 91.95
_cell_angle_beta 95.26
_cell_angle_gamma 97.73
loop_
_atom_site_label
_atom_site_type_symbol
_atom_site_fract_x
_atom_site_fract_y
_atom_site_fract_z
Ti1 Ti 0.172 0.229 0.184
Mo1 Mo 0.000 0.500 0.000
Mo2 Mo 0.060 0.407 0.723
Mo3 Mo 0.222 0.044 0.636
W1 W 0.359 0.867 0.092
W2 W 0.401 0.683 0.544
```

Summary:
Spin magnetization ... 0.00 μB per formula unit


Most stable = B


A.
Material: TiMo6W3
Method: DFT, PBE
State: optimized geometry

The structure in CIF format:
```
data_TiMo6W3
_chemical_formula_sum 'Ti2 Mo12 W6'
_symmetry_space_group_name_H-M 'P 1 21/m 1'
_symmetry_Int_Tables_number 11
_symmetry_space_group_name_Hall '-P 2yb'
_cell_length_a 7.760
_cell_length_b 4.482
_cell_length_c 9.521
_cell_angle_alpha 90.00
_cell_angle_beta 106.00
_cell_angle_gamma 90.00
loop_
_atom_site_label
_atom_site_type_symbol
_atom_site_fract_x
_atom_site_fract_y
_atom_site_fract_z
Ti1 Ti 0.049 0.250 0.401
Mo1 Mo 0.050 0.750 0.901
Mo2 Mo 0.149 0.750 0.200
Mo3 Mo 0.152 0.250 0.702
Mo4 Mo 0.253 0.750 0.499
Mo5 Mo 0.349 0.250 0.297
Mo6 Mo 0.449 0.750 0.099
W1 W 0.251 0.250 0.999
W2 W 0.349 0.750 0.798
W3 W 0.448 0.250 0.598
```

Summary:
Spin magnetization ... 0.00 μB per formula unit


B.
Material: TiMo6W3
Method: DFT, PBE
State: optimized geometry

The structure in CIF format:
```
data_TiMo6W3
_chemical_formula_sum 'Ti2 Mo12 W6'
_symmetry_space_group_name_H-M 'P 1 21/m 1'
_symmetry_Int_Tables_number 11
_symmetry_space_group_name_Hall '-P 2yb'
_cell_length_a 9.460
_cell_length_b 3.114
_cell_length_c 12.210
_cell_angle_alpha 90.00
_cell_angle_beta 112.28
_cell_angle_gamma 90.00
loop_
_atom_site_label
_atom_site_type_symbol
_atom_site_fract_x
_atom_site_fract_y
_atom_site_fract_z
Ti1 Ti 0.057 0.250 0.238
Mo1 Mo 0.110 0.250 0.986
Mo2 Mo 0.219 0.750 0.449
Mo3 Mo 0.223 0.750 0.772
Mo4 Mo 0.256 0.750 0.197
Mo5 Mo 0.378 0.250 0.641
Mo6 Mo 0.476 0.250 0.170
W1 W 0.075 0.250 0.595
W2 W 0.363 0.750 0.988
W3 W 0.415 0.250 0.401
```

Summary:
Spin magnetization ... 0.00 μB per formula unit


Most stable = A


A.
Material: Ti2MoW5
Method: DFT, PBE
State: optimized geometry

The structure in CIF format:
```
data_Ti2MoW5
_chemical_formula_sum 'Ti4 Mo2 W10'
_symmetry_space_group_name_H-M 'P b a m'
_symmetry_Int_Tables_number 55
_symmetry_space_group_name_Hall '-P 2 2ab'
_cell_length_a 5.415
_cell_length_b 10.603
_cell_length_c 4.492
_cell_angle_alpha 90.00
_cell_angle_beta 90.00
_cell_angle_gamma 90.00
loop_
_atom_site_label
_atom_site_type_symbol
_atom_site_fract_x
_atom_site_fract_y
_atom_site_fract_z
Ti1 Ti 0.160 0.117 0.000
Mo1 Mo 0.000 0.500 0.500
W1 W 0.000 0.000 0.500
W2 W 0.152 0.754 0.500
W3 W 0.161 0.376 0.000
```

Summary:
Spin magnetization ... 0.00 μB per formula unit


B.
Material: Ti2MoW5
Method: DFT, PBE
State: optimized geometry

The structure in CIF format:
```
data_Ti2MoW5
_chemical_formula_sum 'Ti4 Mo2 W10'
_symmetry_space_group_name_H-M 'P b a m'
_symmetry_Int_Tables_number 55
_symmetry_space_group_name_Hall '-P 2 2ab'
_cell_length_a 5.422
_cell_length_b 10.606
_cell_length_c 4.483
_cell_angle_alpha 90.00
_cell_angle_beta 90.00
_cell_angle_gamma 90.00
loop_
_atom_site_label
_atom_site_type_symbol
_atom_site_fract_x
_atom_site_fract_y
_atom_site_fract_z
Ti1 Ti 0.159 0.115 0.000
Mo1 Mo 0.000 0.000 0.500
W1 W 0.000 0.500 0.500
W2 W 0.153 0.754 0.500
W3 W 0.159 0.374 0.000
```

Summary:
Spin magnetization ... 0.00 μB per formula unit


Most stable = B


A.
Material: Y3TiMo
Method: DFT, PBE
State: optimized geometry

The structure in CIF format:
```
data_Y3TiMo
_chemical_formula_sum 'Y3 Ti1 Mo1'
_symmetry_space_group_name_H-M 'P m -3 m'
_symmetry_Int_Tables_number 221
_symmetry_space_group_name_Hall '-P 4 2 3'
_cell_length_a 5.304
_cell_length_b 5.304
_cell_length_c 5.304
_cell_angle_alpha 90.00
_cell_angle_beta 90.00
_cell_angle_gamma 90.00
loop_
_atom_site_label
_atom_site_type_symbol
_atom_site_fract_x
_atom_site_fract_y
_atom_site_fract_z
Y1 Y 0.000 0.000 0.500
Ti1 Ti 0.500 0.500 0.500
Mo1 Mo 0.000 0.000 0.000
```

Summary:
Spin magnetization ... 0.00 μB per formula unit


B.
Material: Y3TiMo
Method: DFT, PBE
State: optimized geometry

The structure in CIF format:
```
data_Y3TiMo
_chemical_formula_sum 'Y3 Ti1 Mo1'
_symmetry_space_group_name_H-M 'P m -3 m'
_symmetry_Int_Tables_number 221
_symmetry_space_group_name_Hall '-P 4 2 3'
_cell_length_a 5.277
_cell_length_b 5.277
_cell_length_c 5.277
_cell_angle_alpha 90.00
_cell_angle_beta 90.00
_cell_angle_gamma 90.00
loop_
_atom_site_label
_atom_site_type_symbol
_atom_site_fract_x
_atom_site_fract_y
_atom_site_fract_z
Y1 Y 0.000 0.000 0.500
Ti1 Ti 0.000 0.000 0.000
Mo1 Mo 0.500 0.500 0.500
```

Summary:
Spin magnetization ... 4.51 μB per formula unit


Most stable = A


A.
Material: TiZn2Mo
Method: DFT, PBE
State: optimized geometry

The structure in CIF format:
```
data_TiZn2Mo
_chemical_formula_sum 'Ti4 Zn8 Mo4'
_symmetry_space_group_name_H-M 'F m -3 m'
_symmetry_Int_Tables_number 225
_symmetry_space_group_name_Hall '-F 4 2 3'
_cell_length_a 6.231
_cell_length_b 6.231
_cell_length_c 6.231
_cell_angle_alpha 90.00
_cell_angle_beta 90.00
_cell_angle_gamma 90.00
loop_
_atom_site_label
_atom_site_type_symbol
_atom_site_fract_x
_atom_site_fract_y
_atom_site_fract_z
Ti1 Ti 0.000 0.000 0.000
Zn1 Zn 0.250 0.250 0.250
Mo1 Mo 0.000 0.000 0.500
```

Summary:
Spin magnetization ... 0.00 μB per formula unit


B.
Material: TiZn2Mo
Method: DFT, PBE
State: optimized geometry

The structure in CIF format:
```
data_TiZn2Mo
_chemical_formula_sum 'Ti3 Zn6 Mo3'
_symmetry_space_group_name_H-M 'R -3 m'
_symmetry_Int_Tables_number 166
_symmetry_space_group_name_Hall '-R 3 2"'
_cell_length_a 2.7716
_cell_length_b 2.7716
_cell_length_c 28.0851
_cell_angle_alpha 90.00
_cell_angle_beta 90.00
_cell_angle_gamma 120.00
loop_
_atom_site_label
_atom_site_type_symbol
_atom_site_fract_x
_atom_site_fract_y
_atom_site_fract_z
Ti1 Ti 0.0000 0.0000 0.0000
Zn1 Zn 0.0000 0.0000 0.2490
Mo1 Mo 0.0000 0.0000 0.5000
```

Summary:
Spin magnetization ... 0.00 μB per formula unit


Most stable = A


A.
Material: TiZn2Mo
Method: DFT, PBE
State: optimized geometry

The structure in CIF format:
```
data_TiZn2Mo
_chemical_formula_sum 'Ti4 Zn8 Mo4'
_symmetry_space_group_name_H-M 'I -4 2 d'
_symmetry_Int_Tables_number 122
_symmetry_space_group_name_Hall 'I -4 2bw'
_cell_length_a 7.108
_cell_length_b 7.108
_cell_length_c 5.122
_cell_angle_alpha 90.00
_cell_angle_beta 90.00
_cell_angle_gamma 90.00
loop_
_atom_site_label
_atom_site_type_symbol
_atom_site_fract_x
_atom_site_fract_y
_atom_site_fract_z
Ti1 Ti 0.000 0.000 0.000
Zn1 Zn 0.247 0.250 0.625
Mo1 Mo 0.000 0.000 0.500
```

Summary:
Spin magnetization ... 0.00 μB per formula unit


B.
Material: TiZn2Mo
Method: DFT, PBE
State: optimized geometry

The structure in CIF format:
```
data_TiZn2Mo
_chemical_formula_sum 'Ti1 Zn2 Mo1'
_symmetry_space_group_name_H-M 'P 4/m m m'
_symmetry_Int_Tables_number 123
_symmetry_space_group_name_Hall '-P 4 2'
_cell_length_a 3.780
_cell_length_b 3.780
_cell_length_c 4.190
_cell_angle_alpha 90.00
_cell_angle_beta 90.00
_cell_angle_gamma 90.00
loop_
_atom_site_label
_atom_site_type_symbol
_atom_site_fract_x
_atom_site_fract_y
_atom_site_fract_z
Ti1 Ti 0.000 0.000 0.000
Zn1 Zn 0.000 0.500 0.500
Mo1 Mo 0.500 0.500 0.000
```

Summary:
Spin magnetization ... 0.00 μB per formula unit


Most stable = B